Entry 1:
A crystal of NiGePd relaxed with PBEsol, computed with SCAN.

The value obtained for the formation enthalpy at 0 K is -0.5030 eV/atom.

The space group is P4/nmm (No. 129, origin choice 2) and the conventional cell measures 3.583, 3.583 and 6.197 Å, with angles of 90.00, 90.00 and 90.00 degrees. Symmetry generates all atoms from Ni at (0.250, 0.750, 0.000), Ge at (0.250, 0.250, 0.246) and Pd at (0.250, 0.250, 0.640).

Entry 2:
A crystal of Pr3NiGe2 relaxed with PBEsol, computed with SCAN.

The value obtained for the formation enthalpy at 0 K is -0.7784 eV/atom.

The space group is Pnma (No. 62) and the conventional cell measures 11.771, 4.249 and 11.504 Å, with angles of 90.00, 90.00 and 90.00 degrees. Symmetry generates all atoms from Pr at (0.058, 0.250, 0.123), Pr at (0.117, 0.750, 0.558), Pr at (0.216, 0.250, 0.800), Ni at (0.129, 0.250, 0.364), Ge at (0.025, 0.750, 0.311) and Ge at (0.199, 0.750, 0.993).

Entry 3:
A crystal of NiGePt2 relaxed with PBEsol, computed with SCAN.

The value obtained for the formation enthalpy at 0 K is -0.3510 eV/atom.

The space group is Fmmm (No. 69) and the conventional cell measures 7.307, 7.681 and 7.789 Å, with angles of 90.00, 90.00 and 90.00 degrees. Symmetry generates all atoms from Ni at (0.000, 0.204, 0.000), Ge at (0.000, 0.000, 0.231), Pt at (0.199, 0.000, 0.500) and Pt at (0.250, 0.250, 0.250).

Entry 4:
A crystal of NiGe2Rh relaxed with PBEsol, computed with SCAN.

The value obtained for the formation enthalpy at 0 K is -0.1686 eV/atom.

The space group is Fm-3m (No. 225) and the conventional cell measures 5.976, 5.976 and 5.976 Å, with angles of 90.00, 90.00 and 90.00 degrees. Symmetry generates all atoms from Ni at (0.000, 0.000, 0.000), Ge at (0.250, 0.250, 0.250) and Rh at (0.000, 0.000, 0.500).

Entry 5:
A crystal of NiGeS3 relaxed with PBEsol, computed with SCAN.

The calculation puts the uncorrected formation energy at 340 meV/atom.

The space group is Pm-3m (No. 221) and the conventional cell measures 4.406, 4.406 and 4.406 Å, with angles of 90.00, 90.00 and 90.00 degrees. Symmetry generates all atoms from Ni at (0.000, 0.000, 0.000), Ge at (0.500, 0.500, 0.500) and S at (0.000, 0.000, 0.500).

Entry 6:
A crystal of NiGe2SbS relaxed with PBEsol, computed with SCAN.

The calculation puts the uncorrected formation energy at 283 meV/atom.

The space group is P4/mmm (No. 123) and the conventional cell measures 4.793, 4.793 and 4.160 Å, with angles of 90.00, 90.00 and 90.00 degrees. Symmetry generates all atoms from Ni at (0.000, 0.000, 0.000), Ge at (0.000, 0.500, 0.000), Sb at (0.500, 0.500, 0.500) and S at (0.000, 0.000, 0.500).

Entry 7:
A crystal of ScNiGe2 relaxed with PBEsol, computed with SCAN.

The value obtained for the formation enthalpy at 0 K is -0.2747 eV/atom.

The space group is Fm-3m (No. 225) and the conventional cell measures 6.252, 6.252 and 6.252 Å, with angles of 90.00, 90.00 and 90.00 degrees. Symmetry generates all atoms from Sc at (0.000, 0.000, 0.000), Ni at (0.000, 0.000, 0.500) and Ge at (0.250, 0.250, 0.250).

Entry 8:
A crystal of Sc6Ni16Ge7 relaxed with PBEsol, computed with SCAN.

The value obtained for the formation enthalpy at 0 K is -0.6693 eV/atom.

The space group is Fm-3m (No. 225) and the conventional cell measures 11.488, 11.488 and 11.488 Å, with angles of 90.00, 90.00 and 90.00 degrees. Symmetry generates all atoms from Sc at (0.000, 0.000, 0.210), Ni at (0.120, 0.120, 0.380), Ni at (0.169, 0.169, 0.169), Ge at (0.000, 0.000, 0.500) and Ge at (0.000, 0.250, 0.250).

Across the entries above, ρ takes the values 9.923, 7.234, 15.848, 9.551, 4.416, 6.219, 6.765, 7.524 Mg/m³, respectively.
Across the entries above, magnetization takes the values 0.00, 0.02, 0.00, 0.00, 0.00, 0.00, 0.00, 0.01 Bohr magnetons per cell, respectively.
Across the entries above, total DFT energy (no corrections) takes the values -23.1814, -31.4994, -44.2628, -22.1987, -12.4894, -19.9649, -17.4211, -17.1455 eV/atom, respectively.